Record 1
# Hf4Zn3Mo2C3 (PBE, relaxed)
# * uncorrected energy: -394.04 eV for the cell shown
# * M_tot: 0.000 μB/atom
data_Hf4Zn3Mo2C3
_chemical_formula_sum 'Hf16 Zn12 Mo8 C12'
_space_group_name_H-M_alt 'C 1 2/c 1'
_space_group_IT_number 15
_space_group_name_Hall '-C 2yc'
_cell_length_a 9.5873
_cell_length_b 5.5468
_cell_length_c 13.9974
_cell_angle_alpha 90.00
_cell_angle_beta 103.21
_cell_angle_gamma 90.00
loop_
_atom_site_label
_atom_site_fract_x
_atom_site_fract_y
_atom_site_fract_z
Hf1 0.1159 0.0777 0.0974
Hf2 0.2147 0.0866 0.4025
Zn1 0.0000 0.1471 0.7500
Zn2 0.1354 0.4469 0.2485
Mo1 0.0617 0.4138 0.9253
C1 0.0837 0.2485 0.5000
C2 0.2500 0.2500 0.0000



Record 2
# Hf2Zn3Mo4C3 (PBE, relaxed)
# * uncorrected energy: -393.82 eV for the cell shown
# * M_tot: 0.000 μB/atom
data_Hf2Zn3Mo4C3
_chemical_formula_sum 'Hf8 Zn12 Mo16 C12'
_space_group_name_H-M_alt 'C 1 2/c 1'
_space_group_IT_number 15
_space_group_name_Hall '-C 2yc'
_cell_length_a 9.2758
_cell_length_b 5.3686
_cell_length_c 13.9028
_cell_angle_alpha 90.00
_cell_angle_beta 103.25
_cell_angle_gamma 90.00
loop_
_atom_site_label
_atom_site_fract_x
_atom_site_fract_y
_atom_site_fract_z
Hf1 0.0452 0.0824 0.3923
Zn1 0.0000 0.4348 0.7500
Zn2 0.2407 0.1551 0.7504
Mo1 0.1106 0.4125 0.5802
Mo2 0.2247 0.4187 0.9199
C1 0.0816 0.2446 0.0000
C2 0.2500 0.2500 0.5000



Record 3
# Hf4CN3 (PBE, relaxed)
# * uncorrected energy: -86.78 eV for the cell shown
# * M_tot: 0.000 μB/atom
data_Hf4CN3
_chemical_formula_sum 'Hf4 C1 N3'
_space_group_name_H-M_alt 'P m -3 m'
_space_group_IT_number 221
_space_group_name_Hall '-P 4 2 3'
_cell_length_a 4.5523
_cell_length_b 4.5523
_cell_length_c 4.5523
_cell_angle_alpha 90.00
_cell_angle_beta 90.00
_cell_angle_gamma 90.00
loop_
_atom_site_label
_atom_site_fract_x
_atom_site_fract_y
_atom_site_fract_z
Hf1 0.0000 0.0000 0.0000
Hf2 0.0000 0.5000 0.5000
C1 0.5000 0.5000 0.5000
N1 0.0000 0.0000 0.5000



Record 4
# Hf2CN (PBE, relaxed)
# * uncorrected energy: -43.11 eV for the cell shown
# * M_tot: 0.000 μB/atom
data_Hf2CN
_chemical_formula_sum 'Hf2 C1 N1'
_space_group_name_H-M_alt 'P 4/m m m'
_space_group_IT_number 123
_space_group_name_Hall '-P 4 2'
_cell_length_a 3.2441
_cell_length_b 3.2441
_cell_length_c 4.5854
_cell_angle_alpha 90.00
_cell_angle_beta 90.00
_cell_angle_gamma 90.00
loop_
_atom_site_label
_atom_site_fract_x
_atom_site_fract_y
_atom_site_fract_z
Hf1 0.0000 0.0000 0.0000
Hf2 0.5000 0.5000 0.5000
C1 0.0000 0.0000 0.5000
N1 0.5000 0.5000 0.0000



Repeat the second record exactly.
# Hf2Zn3Mo4C3 (PBE, relaxed)
# * uncorrected energy: -393.82 eV for the cell shown
# * M_tot: 0.000 μB/atom
data_Hf2Zn3Mo4C3
_chemical_formula_sum 'Hf8 Zn12 Mo16 C12'
_space_group_name_H-M_alt 'C 1 2/c 1'
_space_group_IT_number 15
_space_group_name_Hall '-C 2yc'
_cell_length_a 9.2758
_cell_length_b 5.3686
_cell_length_c 13.9028
_cell_angle_alpha 90.00
_cell_angle_beta 103.25
_cell_angle_gamma 90.00
loop_
_atom_site_label
_atom_site_fract_x
_atom_site_fract_y
_atom_site_fract_z
Hf1 0.0452 0.0824 0.3923
Zn1 0.0000 0.4348 0.7500
Zn2 0.2407 0.1551 0.7504
Mo1 0.1106 0.4125 0.5802
Mo2 0.2247 0.4187 0.9199
C1 0.0816 0.2446 0.0000
C2 0.2500 0.2500 0.5000